A plane-wave DFT calculation with PBE with a Hubbard U was carried out for a relaxed structure of LiCrBiF6.

Results
crystal system: trigonal
raw total energy: -94.50 eV per cell

a b c (Å): 5.3518 5.3518 10.1307
angles (deg): 90.00 90.00 120.00
Space group P-31c (No. 163)
Unique sites:
Li  0.3333  0.6667  0.2500
Cr  0.3333  0.6667  0.7500
Bi  0.0000  0.0000  0.0000
F  0.0023  0.3476  0.1368